A plane-wave DFT calculation with PBE-GGA was carried out for crystalline TmAl2CuPd4 at its relaxed geometry.

Geometry as CIF:
```
data_TmAl2CuPd4
_chemical_formula_sum 'Tm3 Al6 Cu3 Pd12'
_space_group_name_H-M_alt 'R -3 m'
_space_group_IT_number 166
_space_group_name_Hall '-R 3 2"'
_cell_length_a 4.3695
_cell_length_b 4.3695
_cell_length_c 23.4456
_cell_angle_alpha 90.00
_cell_angle_beta 90.00
_cell_angle_gamma 120.00
loop_
_atom_site_label
_atom_site_fract_x
_atom_site_fract_y
_atom_site_fract_z
Tm1 0.0000 0.0000 0.0000
Al1 0.0000 0.0000 0.2387
Cu1 0.0000 0.0000 0.5000
Pd1 0.0000 0.0000 0.1257
Pd2 0.0000 0.0000 0.3919
```

Output
The formation energy comes out at -17.15 kcal/mol of atoms.